# BaCdAs2

Crystalline BaCdAs2 at its relaxed geometry (PBE, Alexandria).

The structure belongs to space group Pm (No. 6); the cell edges are 5.033, 4.637 and 5.457 Å and the angles 90.00°, 104.13° and 90.00°. The distinct sites, in fractional coordinates, are Ba at (0.000, 0.000, 0.000), Cd at (0.367, 0.500, 0.607), As at (0.538, 0.500, 0.134) and As at (0.608, 0.000, 0.402).

The calculation puts the total energy at -0.2547 Ry per atom.